VASP calculation (PBE) on TeSe2Br after structural relaxation.

a b c (Å): 6.7863 6.7863 6.7863
angles (deg): 110.82 110.82 106.81
Fractional positions:
Te  0.0000  0.0000  0.0000
Te  0.7500  0.2500  0.5000
Se  0.0928  0.1250  0.4678
Se  0.3750  0.9072  0.0322
Se  0.6572  0.6250  0.5322
Se  0.8750  0.3428  0.9678
Br  0.2500  0.7500  0.5000
Br  0.5000  0.5000  0.0000

Calculated values
Total energy: -2.701 eV/atom
E_form (uncorrected): 0.2451 eV/atom
Density of states at the Fermi level: 10.671 states/eV/cell



VASP calculation (PBE) on TeSe2Br after structural relaxation.

a b c (Å): 4.8721 4.8721 7.8968
angles (deg): 90.00 90.00 131.57
Fractional positions:
Te  0.0000  0.0000  0.0000
Se  0.5000  0.5000  0.2378
Se  0.5000  0.5000  0.7622
Br  0.0000  0.0000  0.5000

Calculated values
Total energy: -2.775 eV/atom
E_form (uncorrected): 0.1706 eV/atom
Density of states at the Fermi level: 2.477 states/eV/cell



VASP calculation (PBE) on Te2SeBr2 after structural relaxation.

a b c (Å): 7.5293 7.5293 4.9361
angles (deg): 90.00 90.00 90.00
Fractional positions:
Te  0.1488  0.3512  0.0000
Te  0.3512  0.8512  0.0000
Te  0.6488  0.1488  0.0000
Te  0.8512  0.6488  0.0000
Se  0.0000  0.0000  0.0000
Se  0.5000  0.5000  0.0000
Br  0.1780  0.6780  0.5000
Br  0.3220  0.1780  0.5000
Br  0.6780  0.8220  0.5000
Br  0.8220  0.3220  0.5000

Calculated values
Total energy: -2.449 eV/atom
E_form (uncorrected): 0.1733 eV/atom
Density of states at the Fermi level: 8.891 states/eV/cell



VASP calculation (PBE) on TeSe2Br after structural relaxation.

a b c (Å): 3.9600 3.9600 6.9639
angles (deg): 90.00 90.00 90.00
Fractional positions:
Te  0.0000  0.0000  0.0000
Se  0.5000  0.5000  0.1731
Se  0.5000  0.5000  0.8269
Br  0.0000  0.0000  0.5000

Calculated values
Total energy: -2.672 eV/atom
E_form (uncorrected): 0.2739 eV/atom
Density of states at the Fermi level: 2.298 states/eV/cell



VASP calculation (PBE) on TeSe2Br after structural relaxation.

a b c (Å): 6.0679 6.0679 6.0679
angles (deg): 140.09 91.29 102.15
Fractional positions:
Te  0.0000  0.0000  0.0000
Se  0.2416  0.7416  0.5000
Se  0.4456  0.4456  0.0000
Br  0.7246  0.2246  0.5000

Calculated values
Total energy: -2.740 eV/atom
E_form (uncorrected): 0.2055 eV/atom
Density of states at the Fermi level: 2.244 states/eV/cell



VASP calculation (PBE) on TeSe2Br after structural relaxation.

a b c (Å): 5.4241 5.4241 4.0696
angles (deg): 90.00 90.00 119.50
Fractional positions:
Te  0.0000  0.0000  0.0000
Se  0.0000  0.5000  0.5000
Se  0.5000  0.0000  0.5000
Br  0.5000  0.5000  0.0000

Calculated values
Total energy: -2.464 eV/atom
E_form (uncorrected): 0.4815 eV/atom
Density of states at the Fermi level: 2.729 states/eV/cell